P.
PBEsol MgSc2S, optimized geometry; total magnetization = 0.00 μB/atom; space-group type = R-3m, No. 166
1.0
-2.726 2.128 0.489
-2.882 -0.381 -1.936
-5.411 -5.439 5.976
Sc S Mg
2 1 1
direct
0.919 0.919 0.242
0.081 0.081 0.758
0.000 0.000 0.000
0.500 0.500 0.500


Q.
PBEsol MgSc2S, optimized geometry; total magnetization = 0.00 μB/atom; space-group type = Fm-3m, No. 225
1.0
4.768 0.000 0.000
2.384 4.129 0.000
2.384 1.376 3.893
Sc S Mg
2 1 1
direct
0.250 0.250 0.250
0.750 0.750 0.750
0.500 0.500 0.500
0.000 0.000 0.000


Most stable of them? Q.


P.
PBEsol MgSc2S4, optimized geometry; total magnetization = 0.00 μB/atom; space-group type = Pnma, No. 62
1.0
3.601 0.000 0.000
0.000 11.975 0.000
0.000 0.000 12.405
Mg Sc S
4 8 16
direct
0.250 0.876 0.425
0.750 0.124 0.575
0.750 0.624 0.925
0.250 0.376 0.075
0.750 0.890 0.076
0.250 0.110 0.924
0.250 0.610 0.576
0.750 0.390 0.424
0.750 0.852 0.701
0.250 0.148 0.299
0.250 0.648 0.201
0.750 0.352 0.799
0.250 0.975 0.615
0.750 0.025 0.385
0.750 0.525 0.115
0.250 0.475 0.885
0.750 0.968 0.880
0.250 0.032 0.120
0.250 0.532 0.380
0.750 0.468 0.620
0.750 0.784 0.257
0.250 0.216 0.743
0.250 0.716 0.757
0.750 0.284 0.243
0.250 0.751 0.019
0.750 0.249 0.981
0.750 0.749 0.519
0.250 0.251 0.481


Q.
PBEsol MgSc2S4, optimized geometry; total magnetization = 0.00 μB/atom; space-group type = Fd-3m, No. 227
1.0
-3.596 5.749 -3.170
-6.092 -1.237 -4.170
-6.743 2.047 2.524
Mg Sc S
2 4 8
direct
0.500 0.500 0.500
0.750 0.750 0.750
0.625 0.125 0.125
0.125 0.625 0.125
0.125 0.125 0.625
0.125 0.125 0.125
0.883 0.883 0.883
0.899 0.367 0.367
0.367 0.367 0.367
0.883 0.351 0.883
0.351 0.883 0.883
0.367 0.367 0.899
0.367 0.899 0.367
0.883 0.883 0.351


Most stable of them? Q.


P.
PBEsol Tb2MgS4, optimized geometry; total magnetization = 0.00 μB/atom; space-group type = Fd-3m, No. 227
1.0
-7.745 0.731 -0.962
-3.250 -1.570 -6.958
-4.458 -6.385 -0.892
Tb Mg S
4 2 8
direct
0.625 0.625 0.125
0.625 0.125 0.625
0.625 0.625 0.625
0.125 0.625 0.625
0.000 0.000 0.000
0.250 0.250 0.250
0.861 0.380 0.380
0.380 0.380 0.380
0.380 0.380 0.861
0.380 0.861 0.380
0.870 0.389 0.870
0.870 0.870 0.389
0.870 0.870 0.870
0.389 0.870 0.870


Q.
PBEsol Tb2MgS4, optimized geometry; total magnetization = 0.00 μB/atom; space-group type = Cmc2_1, No. 36
1.0
-1.325 1.745 -3.056
-1.243 -6.297 -0.743
-11.265 1.544 5.764
Tb Mg S
4 2 8
direct
0.619 0.238 0.785
0.381 0.762 0.285
0.862 0.723 0.583
0.138 0.277 0.083
0.874 0.749 0.947
0.126 0.251 0.447
0.209 0.418 0.636
0.791 0.582 0.136
0.513 0.027 0.994
0.487 0.973 0.494
0.240 0.480 0.895
0.760 0.520 0.395
0.963 0.925 0.768
0.037 0.075 0.268


R.
PBEsol Tb2MgS4, optimized geometry; total magnetization = 0.00 μB/atom; space-group type = I-42d, No. 122
1.0
7.076 -0.001 -0.001
-2.488 6.624 0.001
-2.488 -3.177 5.812
Tb Mg S
4 2 8
direct
0.622 0.375 0.497
0.122 0.247 0.625
0.378 0.875 0.753
0.878 0.503 0.125
0.000 0.000 0.000
0.500 0.750 0.250
0.739 0.116 0.237
0.121 0.623 0.884
0.261 0.498 0.377
0.879 0.763 0.502
0.621 0.634 0.873
0.761 0.127 0.748
0.379 0.252 0.013
0.239 0.987 0.366


Most stable of them? Q.